Record 1
Pr6Sm2Er3 | PBE | optimized geometry

Computed properties:
* raw total energy: -97.2 eV per cell
* excess energy over the best structure of this formula in the dataset: 3.033 eV per formula unit

Lattice parameters (Å, degrees): 4.786 4.786 34.427 90.00 90.00 90.00
Space group I4/mmm (No. 139)
Symmetry-distinct sites (fractional):
Pr  0.000  0.000  0.207 [4 per cell]
Pr  0.000  0.500  0.121 [8 per cell]
Sm  0.000  0.000  0.045 [4 per cell]
Er  0.000  0.000  0.307 [4 per cell]
Er  0.000  0.000  0.500 [2 per cell]

Record 2
Pr8Sm4Er3 | PBE | optimized geometry

Computed properties:
* raw total energy: -132.1 eV per cell

Lattice parameters (Å, degrees): 14.030 12.336 6.932 90.00 118.84 90.00
Space group C2/m (No. 12)
Symmetry-distinct sites (fractional):
Pr  0.000  0.203  0.000 [4 per cell]
Pr  0.000  0.253  0.500 [4 per cell]
Pr  0.202  0.000  0.174 [4 per cell]
Pr  0.246  0.500  0.289 [4 per cell]
Sm  0.000  0.500  0.000 [2 per cell]
Sm  0.000  0.500  0.500 [2 per cell]
Sm  0.250  0.250  0.000 [4 per cell]
Er  0.000  0.000  0.500 [2 per cell]
Er  0.250  0.250  0.500 [4 per cell]

Record 3
Pr2SmEr4 | PBE | optimized geometry

Computed properties:
* raw total energy: -64.8 eV per cell
* excess energy over the best structure of this formula in the dataset: 0.000 eV per formula unit

Lattice parameters (Å, degrees): 6.789 8.513 9.282 65.54 71.97 77.26
Space group P1 (No. 1)
Symmetry-distinct sites (fractional):
Pr  0.000  0.000  0.000 [1 per cell]
Pr  0.095  0.388  0.020 [1 per cell]
Pr  0.285  0.147  0.572 [1 per cell]
Pr  0.808  0.244  0.451 [1 per cell]
Sm  0.239  0.953  0.310 [1 per cell]
Sm  0.433  0.719  0.855 [1 per cell]
Er  0.144  0.578  0.285 [1 per cell]
Er  0.383  0.530  0.593 [1 per cell]
Er  0.528  0.101  0.881 [1 per cell]
Er  0.570  0.291  0.141 [1 per cell]
Er  0.662  0.671  0.167 [1 per cell]
Er  0.713  0.858  0.427 [1 per cell]
Er  0.855  0.436  0.711 [1 per cell]
Er  0.949  0.809  0.737 [1 per cell]

Record 4
Pr4Sm5Er | PBE | optimized geometry

Computed properties:
* raw total energy: -45.5 eV per cell
* excess energy over the best structure of this formula in the dataset: 0.000 eV per formula unit

Lattice parameters (Å, degrees): 3.594 8.943 11.347 90.27 90.06 101.56
Space group P-1 (No. 2)
Symmetry-distinct sites (fractional):
Pr  0.030  0.060  0.248 [2 per cell]
Pr  0.347  0.689  0.251 [2 per cell]
Sm  0.172  0.345  0.052 [2 per cell]
Sm  0.172  0.348  0.445 [2 per cell]
Sm  0.500  0.000  0.500 [1 per cell]
Er  0.500  0.000  0.000 [1 per cell]

Record 5
Pr5Sm3Er | PBE | optimized geometry

Computed properties:
* raw total energy: -156.1 eV per cell
* excess energy over the best structure of this formula in the dataset: 1.281 eV per formula unit

Lattice parameters (Å, degrees): 17.524 8.233 9.653 90.00 104.63 90.00
Space group C2/m (No. 12)
Symmetry-distinct sites (fractional):
Pr  0.000  0.175  0.000 [4 per cell]
Pr  0.003  0.000  0.672 [4 per cell]
Pr  0.163  0.217  0.572 [8 per cell]
Pr  0.190  0.000  0.913 [4 per cell]
Sm  0.000  0.500  0.000 [2 per cell]
Sm  0.000  0.500  0.500 [2 per cell]
Sm  0.152  0.500  0.274 [4 per cell]
Sm  0.188  0.000  0.262 [4 per cell]
Er  0.130  0.500  0.839 [4 per cell]

Record 6
PrSm12Er7 | PBE | optimized geometry

Computed properties:
* raw total energy: -159.4 eV per cell
* excess energy over the best structure of this formula in the dataset: 10.418 eV per formula unit

Lattice parameters (Å, degrees): 11.479 11.479 11.479 90.00 90.00 90.00
Space group Im-3 (No. 204)
Symmetry-distinct sites (fractional):
Pr  0.000  0.000  0.000 [2 per cell]
Sm  0.000  0.255  0.257 [24 per cell]
Er  0.000  0.000  0.500 [6 per cell]
Er  0.250  0.250  0.250 [8 per cell]

Record 7
Pr3Sm2Er | PBE | optimized geometry

Computed properties:
* raw total energy: -113.4 eV per cell
* excess energy over the best structure of this formula in the dataset: 0.000 eV per formula unit

Lattice parameters (Å, degrees): 11.013 6.356 11.770 90.00 90.00 90.00
Space group Cmcm (No. 63)
Symmetry-distinct sites (fractional):
Pr  0.000  0.000  0.000 [4 per cell]
Pr  0.165  0.500  0.000 [8 per cell]
Sm  0.167  0.167  0.250 [8 per cell]
Er  0.000  0.333  0.750 [4 per cell]

Record 8
Pr3Sm4Er | PBE | optimized geometry

Computed properties:
* raw total energy: -75.1 eV per cell
* excess energy over the best structure of this formula in the dataset: 0.000 eV per formula unit

Lattice parameters (Å, degrees): 11.765 7.383 6.375 90.00 90.00 90.00
Space group Pmn2_1 (No. 31)
Symmetry-distinct sites (fractional):
Pr  0.000  0.127  0.000 [2 per cell]
Pr  0.250  0.125  0.333 [4 per cell]
Sm  0.000  0.376  0.502 [2 per cell]
Sm  0.000  0.624  0.000 [2 per cell]
Sm  0.247  0.624  0.334 [4 per cell]
Er  0.000  0.873  0.499 [2 per cell]

Record 9
Pr2Sm5Er | PBE | optimized geometry

Computed properties:
* raw total energy: -75.2 eV per cell

Lattice parameters (Å, degrees): 7.269 14.555 5.126 90.00 90.00 90.00
Space group Pbam (No. 55)
Symmetry-distinct sites (fractional):
Pr  0.248  0.124  0.000 [4 per cell]
Sm  0.000  0.500  0.500 [2 per cell]
Sm  0.002  0.751  0.500 [4 per cell]
Sm  0.249  0.376  0.000 [4 per cell]
Er  0.000  0.000  0.500 [2 per cell]

Record 10
Pr12Sm2Er5 | PBE | optimized geometry

Computed properties:
* raw total energy: -175.5 eV per cell

Lattice parameters (Å, degrees): 18.163 11.806 6.271 90.00 102.42 90.00
Space group C2/m (No. 12)
Symmetry-distinct sites (fractional):
Pr  0.058  0.000  0.273 [4 per cell]
Pr  0.104  0.252  0.616 [8 per cell]
Pr  0.121  0.500  0.001 [4 per cell]
Pr  0.197  0.240  0.199 [8 per cell]
Sm  0.000  0.271  0.000 [4 per cell]
Er  0.000  0.500  0.500 [2 per cell]
Er  0.179  0.000  0.858 [4 per cell]
Er  0.215  0.500  0.552 [4 per cell]

Record 11
Pr2Sm3Er3 | PBE | optimized geometry

Computed properties:
* raw total energy: -145.2 eV per cell
* excess energy over the best structure of this formula in the dataset: 0.912 eV per formula unit

Lattice parameters (Å, degrees): 5.641 11.832 16.381 90.00 90.00 90.00
Space group Cmcm (No. 63)
Symmetry-distinct sites (fractional):
Pr  0.000  0.221  0.129 [8 per cell]
Sm  0.000  0.390  0.556 [8 per cell]
Sm  0.000  0.462  0.250 [4 per cell]
Er  0.000  0.086  0.582 [8 per cell]
Er  0.000  0.249  0.750 [4 per cell]

Record 12
Pr5Sm4Er2 | PBE | optimized geometry

Computed properties:
* raw total energy: -102.1 eV per cell
* excess energy over the best structure of this formula in the dataset: 0.000 eV per formula unit

Lattice parameters (Å, degrees): 23.752 3.709 9.390 90.00 111.98 90.00
Space group C2/m (No. 12)
Symmetry-distinct sites (fractional):
Pr  0.000  0.000  0.000 [2 per cell]
Pr  0.124  0.500  0.975 [4 per cell]
Pr  0.243  0.500  0.815 [4 per cell]
Sm  0.014  0.500  0.330 [4 per cell]
Sm  0.174  0.500  0.390 [4 per cell]
Er  0.108  0.000  0.636 [4 per cell]